{"formula": "Ca2Zn3CdAu4", "functional": "GGA-PBE", "state": "optimized geometry", "lattice_angstrom": [[4.472, 0.000, 0.000], [0.000, 4.472, 0.000], [0.000, 0.000, 10.874]], "species": ["Ca", "Ca", "Zn", "Zn", "Zn", "Cd", "Au", "Au", "Au", "Au"], "fractional_positions": [[0.000, 0.500, 0.237], [0.500, 0.000, 0.763], [0.000, 0.500, 0.877], [0.500, 0.000, 0.123], [0.500, 0.500, 0.500], [0.000, 0.000, 0.500], [0.000, 0.000, 0.000], [0.000, 0.500, 0.647], [0.500, 0.000, 0.353], [0.500, 0.500, 0.000]], "dos_at_fermi_per_ev_cell": 2.620, "space_group": "P-4m2", "m_tot_mub_per_atom": 0.0000, "density_g_cm3": 9.0, "crystal_system": "tetragonal", "e_tot_ev_per_atom": -2.647, "delta_e_f_kj_per_mol_fu": -446}